No. 1
Below is crystalline Ti2NiS6 at its relaxed geometry, with properties calculated at the PBE level.

Summary:
- raw formation energy (eV/atom) = -0.7327
- raw total energy (eV/f.u.) = -52.9
- space group = P4_2/mnm, No. 136
- total magnetic moment (μB per formula unit) = 0.0

Cell: 5.6533 5.6533 10.3897 Å, 90.00 90.00 90.00°
Last column: nearest neighbours and their distance in Å.
Sites, in units of the cell vectors:
1 Ti 0.5000 0.5000 0.3420  6 S 2.34-2.48
2 Ti 0.5000 0.5000 0.6580  6 S 2.34-2.48
3 Ti 0.0000 0.0000 0.1580  6 S 2.34-2.48
4 Ti 0.0000 0.0000 0.8420  6 S 2.34-2.48
5 Ni 0.5000 0.5000 0.0000  6 S 2.29-2.33
6 Ni 0.0000 0.0000 0.5000  6 S 2.29-2.33
7 S 0.6900 0.6900 0.1653  1 Ni 2.29, 2 Ti 2.38-2.48
8 S 0.6900 0.6900 0.8347  1 Ni 2.29, 2 Ti 2.38-2.48
9 S 0.7091 0.7091 0.5000  1 Ni 2.33, 2 Ti 2.34
10 S 0.7909 0.2091 0.0000  1 Ni 2.33, 2 Ti 2.34
11 S 0.8100 0.1900 0.3347  1 Ni 2.29, 2 Ti 2.38-2.48
12 S 0.8100 0.1900 0.6653  1 Ni 2.29, 2 Ti 2.38-2.48
13 S 0.1900 0.8100 0.3347  1 Ni 2.29, 2 Ti 2.38-2.48
14 S 0.1900 0.8100 0.6653  1 Ni 2.29, 2 Ti 2.38-2.48
15 S 0.2091 0.7909 0.0000  1 Ni 2.33, 2 Ti 2.34
16 S 0.2909 0.2909 0.5000  1 Ni 2.33, 2 Ti 2.34
17 S 0.3100 0.3100 0.1653  1 Ni 2.29, 2 Ti 2.38-2.48
18 S 0.3100 0.3100 0.8347  1 Ni 2.29, 2 Ti 2.38-2.48

---

No. 2
Below is crystalline TiNi3S at its relaxed geometry, with properties calculated at the PBE level.

Summary:
- raw formation energy (eV/atom) = 1.1249
- raw total energy (eV/f.u.) = -23.7
- distance to the lowest polymorph of the same formula (meV/atom) = 1118
- space group = Pm-3m, No. 221
- total magnetic moment (μB per formula unit) = 0.0

Cell: 4.3569 4.3569 4.3569 Å, 90.00 90.00 90.00°
Last column: nearest neighbours and their distance in Å.
Sites, in units of the cell vectors:
1 Ni 0.0000 0.5000 0.0000  2 Ti 2.18
2 Ni 0.0000 0.0000 0.5000  2 Ti 2.18
3 Ni 0.5000 0.0000 0.0000  2 Ti 2.18
4 S 0.5000 0.5000 0.5000  12 Ni 3.08
5 Ti 0.0000 0.0000 0.0000  6 Ni 2.18